No. 1
Pm2Sb4Pd3Pt after structural relaxation, computed with PBE.

The structure in extended XYZ format:
```
10
Lattice="4.600 0.000 0.000 0.000 4.600 0.000 0.000 0.000 10.778" Properties=species:S:1:pos:R:3 pbc="T T T"
Pm 0.000 2.300 2.512
Pm 2.300 0.000 8.266
Sb 0.000 0.000 5.389
Sb 0.000 2.300 9.389
Sb 2.300 0.000 1.389
Sb 2.300 2.300 5.389
Pd 0.000 0.000 0.000
Pd 0.000 2.300 6.814
Pd 2.300 0.000 3.964
Pt 2.300 2.300 0.000
```

Values from the calculation:
- Uncorrected formation energy: -0.787 eV per atom
- Symmetry: No. 115



No. 2
PmSbPdPt after structural relaxation, computed with PBE.

The structure in extended XYZ format:
```
16
Lattice="6.932 0.000 0.000 0.000 6.932 0.000 0.000 0.000 6.932" Properties=species:S:1:pos:R:3 pbc="T T T"
Pm 0.000 0.000 0.000
Pm 0.000 3.466 3.466
Pm 3.466 0.000 3.466
Pm 3.466 3.466 0.000
Sb 0.000 0.000 3.466
Sb 0.000 3.466 0.000
Sb 3.466 0.000 0.000
Sb 3.466 3.466 3.466
Pd 1.733 1.733 1.733
Pd 1.733 5.199 5.199
Pd 5.199 1.733 5.199
Pd 5.199 5.199 1.733
Pt 1.733 1.733 5.199
Pt 1.733 5.199 1.733
Pt 5.199 1.733 1.733
Pt 5.199 5.199 5.199
```

Values from the calculation:
- Uncorrected formation energy: -0.795 eV per atom
- Symmetry: No. 216



No. 3
Pm2Sb3PdPt4 after structural relaxation, computed with PBE.

The structure in extended XYZ format:
```
10
Lattice="4.484 0.000 0.000 0.000 4.484 0.000 0.000 0.000 10.852" Properties=species:S:1:pos:R:3 pbc="T T T"
Pm 0.000 2.242 2.683
Pm 2.242 0.000 8.168
Sb 0.000 0.000 0.000
Sb 0.000 2.242 6.859
Sb 2.242 0.000 3.992
Pd 2.242 2.242 0.000
Pt 0.000 0.000 5.426
Pt 0.000 2.242 9.393
Pt 2.242 0.000 1.458
Pt 2.242 2.242 5.426
```

Values from the calculation:
- Uncorrected formation energy: -0.778 eV per atom
- Symmetry: No. 115



No. 4
PmScPdPt after structural relaxation, computed with PBE.

The structure in extended XYZ format:
```
8
Lattice="4.471 0.000 0.000 0.000 3.652 0.000 0.000 0.000 10.534" Properties=species:S:1:pos:R:3 pbc="T T T"
Pm 0.000 0.000 0.000
Pm 0.000 1.826 5.267
Sc 2.235 0.000 7.635
Sc 2.235 1.826 2.368
Pd 2.235 0.000 4.667
Pd 2.235 1.826 9.934
Pt 0.000 0.000 2.845
Pt 0.000 1.826 8.112
```

Values from the calculation:
- Energy above the most stable polymorph in this dataset: 0.000 eV per formula unit
- Formation enthalpy at 0 K: -0.97 eV/atom
- Symmetry: No. 38



No. 5
PmScPdPt after structural relaxation, computed with PBE.

The structure in extended XYZ format:
```
16
Lattice="6.922 0.000 0.000 0.000 6.922 0.000 0.000 0.000 6.922" Properties=species:S:1:pos:R:3 pbc="T T T"
Pm 0.000 0.000 0.000
Pm 0.000 3.461 3.461
Pm 3.461 0.000 3.461
Pm 3.461 3.461 0.000
Sc 0.000 0.000 3.461
Sc 0.000 3.461 0.000
Sc 3.461 0.000 0.000
Sc 3.461 3.461 3.461
Pd 1.731 1.731 5.192
Pd 1.731 5.192 1.731
Pd 5.192 1.731 1.731
Pd 5.192 5.192 5.192
Pt 1.731 1.731 1.731
Pt 1.731 5.192 5.192
Pt 5.192 1.731 5.192
Pt 5.192 5.192 1.731
```

Values from the calculation:
- Energy above the most stable polymorph in this dataset: 0.141 eV per formula unit
- Formation enthalpy at 0 K: -0.94 eV/atom
- Symmetry: No. 216



No. 6
Pm2Si3PdPt4 after structural relaxation, computed with PBE.

The structure in extended XYZ format:
```
10
Lattice="4.223 0.000 0.000 0.000 4.223 0.000 0.000 0.000 10.322" Properties=species:S:1:pos:R:3 pbc="T T T"
Pm 0.000 2.112 2.505
Pm 2.112 0.000 7.817
Si 0.000 0.000 0.000
Si 0.000 2.112 6.450
Si 2.112 0.000 3.872
Pd 2.112 2.112 0.000
Pt 0.000 0.000 5.161
Pt 0.000 2.112 8.778
Pt 2.112 0.000 1.545
Pt 2.112 2.112 5.161
```

Values from the calculation:
- Uncorrected formation energy: -0.992 eV per atom
- Symmetry: No. 115



No. 7
Pm3Si2PdPt9 after structural relaxation, computed with PBE.

The structure in extended XYZ format:
```
15
Lattice="5.673 0.000 0.000 -2.836 4.913 0.000 0.000 0.000 11.085" Properties=species:S:1:pos:R:3 pbc="T T T"
Pm 0.000 0.000 0.000
Pm 0.000 3.275 6.463
Pm 2.836 1.638 4.622
Si 0.000 3.275 1.773
Si 2.836 1.638 9.312
Pd 0.000 0.000 5.542
Pt -1.418 2.456 0.000
Pt 0.000 1.595 3.407
Pt -1.455 4.115 3.407
Pt 1.381 0.798 7.677
Pt 2.836 0.000 0.000
Pt 1.418 2.456 0.000
Pt 1.455 4.115 3.407
Pt 4.291 0.798 7.677
Pt 2.836 3.317 7.677
```

Values from the calculation:
- Uncorrected formation energy: -0.783 eV per atom
- Symmetry: No. 164



No. 8
PmSi2PdPt5 after structural relaxation, computed with PBE.

The structure in extended XYZ format:
```
9
Lattice="4.073 0.000 0.000 0.000 4.073 0.000 0.000 0.000 10.655" Properties=species:S:1:pos:R:3 pbc="T T T"
Pm 0.000 0.000 0.000
Si 2.036 2.036 2.345
Si 2.036 2.036 8.310
Pd 0.000 0.000 5.328
Pt 0.000 2.036 3.514
Pt 0.000 2.036 7.141
Pt 2.036 0.000 3.514
Pt 2.036 0.000 7.141
Pt 2.036 2.036 0.000
```

Values from the calculation:
- Uncorrected formation energy: -0.558 eV per atom
- Symmetry: No. 123



No. 9
PmSi2PdPt after structural relaxation, computed with PBE.

The structure in extended XYZ format:
```
10
Lattice="4.218 0.000 0.000 0.000 4.218 0.000 0.000 0.000 9.976" Properties=species:S:1:pos:R:3 pbc="T T T"
Pm 0.000 0.000 0.000
Pm 2.109 2.109 4.988
Si 0.000 0.000 3.800
Si 0.000 0.000 6.176
Si 2.109 2.109 1.188
Si 2.109 2.109 8.788
Pd 0.000 2.109 7.482
Pd 2.109 0.000 2.494
Pt 0.000 2.109 2.494
Pt 2.109 0.000 7.482
```

Values from the calculation:
- Uncorrected formation energy: -1.012 eV per atom
- Symmetry: No. 119



No. 10
Pm2SiPd2Pt4 after structural relaxation, computed with PBE.

The structure in extended XYZ format:
```
9
Lattice="-3.103 3.103 4.356 3.103 -3.103 4.356 3.103 3.103 -4.356" Properties=species:S:1:pos:R:3 pbc="T T T"
Pm 3.103 0.000 2.178
Pm 0.000 3.103 2.178
Si 0.000 0.000 0.000
Pd 0.000 0.000 2.379
Pd 0.000 0.000 6.332
Pt 1.666 1.666 0.000
Pt 1.437 -1.437 4.356
Pt -1.437 1.437 4.356
Pt 1.437 1.437 4.356
```

Values from the calculation:
- Uncorrected formation energy: -0.953 eV per atom
- Symmetry: No. 139



No. 11
Pm2Sn4Pd3Pt after structural relaxation, computed with PBE.

The structure in extended XYZ format:
```
10
Lattice="4.568 0.000 0.000 0.000 4.568 0.000 0.000 0.000 10.793" Properties=species:S:1:pos:R:3 pbc="T T T"
Pm 0.000 2.284 2.555
Pm 2.284 0.000 8.237
Sn 0.000 0.000 5.396
Sn 0.000 2.284 9.402
Sn 2.284 0.000 1.391
Sn 2.284 2.284 5.396
Pd 0.000 0.000 0.000
Pd 0.000 2.284 6.819
Pd 2.284 0.000 3.974
Pt 2.284 2.284 0.000
```

Values from the calculation:
- Formation enthalpy at 0 K: -0.77 eV/atom
- Symmetry: No. 115



No. 12
Pm2Sn4PdPt3 after structural relaxation, computed with PBE.

The structure in extended XYZ format:
```
10
Lattice="4.581 0.000 0.000 0.000 4.581 0.000 0.000 0.000 10.750" Properties=species:S:1:pos:R:3 pbc="T T T"
Pm 0.000 2.291 2.564
Pm 2.291 0.000 8.186
Sn 0.000 0.000 5.375
Sn 0.000 2.291 9.376
Sn 2.291 0.000 1.374
Sn 2.291 2.291 5.375
Pd 2.291 2.291 0.000
Pt 0.000 0.000 0.000
Pt 0.000 2.291 6.782
Pt 2.291 0.000 3.968
```

Values from the calculation:
- Formation enthalpy at 0 K: -0.83 eV/atom
- Symmetry: No. 115



Number 1: magnetic moment 0.0 μB per formula unit. Number 2: magnetic moment 0.0 μB per formula unit. Number 3: magnetic moment 0.0 μB per formula unit. Number 4: magnetic moment 0.0 μB per formula unit. Number 5: magnetic moment 0.0 μB per formula unit. Number 6: magnetic moment 0.0 μB per formula unit. Number 7: magnetic moment 0.0 μB per formula unit. Number 8: magnetic moment 0.0 μB per formula unit. Number 9: magnetic moment 0.0 μB per formula unit. Number 10: magnetic moment 0.0 μB per formula unit. Number 11: magnetic moment 0.0 μB per formula unit. Number 12: magnetic moment 0.0 μB per formula unit.